The following is a PBE calculation of a relaxed TlCuNiSe2S crystal, from OQMD.

Geometry as extended XYZ:
```
12
Lattice="1.808 -7.025 0.000 1.808 7.025 0.000 0.000 0.000 9.755" Properties=species:S:1:pos:R:3 pbc="T T T"
Tl 1.808 -3.511 2.439
Tl 1.808 3.511 7.316
Se 1.808 -5.425 5.164
Se 1.808 5.425 0.287
Se 1.808 5.425 4.591
Se 1.808 -5.425 9.468
S 1.808 -0.793 7.316
S 1.808 0.793 2.439
Cu 1.808 6.489 2.439
Cu 1.808 -6.489 7.316
Ni 1.808 0.000 0.000
Ni 1.808 0.000 4.877
```

- magnetic moment (μB per cell) = 0.00
- calculated total energy (eV/cell) = -47.47

The following is a PBE calculation of a relaxed SrCuNiS3 crystal, from OQMD.

Geometry as extended XYZ:
```
12
Lattice="1.883 -6.189 0.000 1.883 6.189 0.000 0.000 0.000 9.289" Properties=species:S:1:pos:R:3 pbc="T T T"
S 1.883 -5.356 6.967
S 1.883 1.548 0.358
S 1.883 1.548 4.286
S 1.883 -1.548 8.931
S 1.883 5.356 2.322
S 1.883 -1.548 5.003
Ni 0.000 0.000 4.644
Ni 0.000 0.000 0.000
Cu 1.883 -0.400 6.967
Cu 1.883 0.400 2.322
Sr 1.883 3.162 6.967
Sr 1.883 -3.162 2.322
```

- ΔE to the lowest computed polymorph (kJ/mol of atoms) = 2.3
- magnetic moment (μB per cell) = 1.37
- calculated total energy (eV/cell) = -55.31

The following is a PBE calculation of a relaxed SrCuNiS3 crystal, from OQMD.

Geometry as extended XYZ:
```
12
Lattice="-2.763 5.978 3.213 -3.497 -1.350 -0.496 1.373 -5.767 6.006" Properties=species:S:1:pos:R:3 pbc="T T T"
Ni -3.059 -1.045 2.790
Ni -1.828 -0.094 5.933
S -1.861 0.760 3.842
S -1.632 -1.343 7.949
S -0.685 -1.792 2.494
S -4.203 0.653 6.229
S -3.255 0.204 0.773
S -3.026 -1.898 4.881
Sr -4.450 2.253 3.623
Sr -0.437 -3.392 5.100
Cu -3.898 -0.780 7.984
Cu -0.989 -0.358 0.739
```

- ΔE to the lowest computed polymorph (kJ/mol of atoms) = 0.0
- magnetic moment (μB per cell) = 2.11
- calculated total energy (eV/cell) = -55.59

The following is a PBE calculation of a relaxed TlCuNiTe2S crystal, from OQMD.

Geometry as extended XYZ:
```
12
Lattice="1.868 -7.541 0.000 1.868 7.541 0.000 0.000 0.000 9.771" Properties=species:S:1:pos:R:3 pbc="T T T"
Ni 1.868 0.000 0.000
Ni 1.868 0.000 4.885
Te 1.868 5.723 5.217
Te 1.868 -5.723 4.554
Te 1.868 -5.723 0.331
Te 1.868 5.723 9.440
Tl 1.868 3.883 2.443
Tl 1.868 -3.883 7.328
Cu 1.868 7.177 7.328
Cu 1.868 -7.177 2.443
S 1.868 -0.875 2.443
S 1.868 0.875 7.328
```

- magnetic moment (μB per cell) = 0.00
- calculated total energy (eV/cell) = -45.11

The following is a PBE calculation of a relaxed ZnCuNiS3 crystal, from OQMD.

Geometry as extended XYZ:
```
12
Lattice="-1.207 -6.546 -0.401 3.559 -0.590 -1.080 2.475 -0.707 8.546" Properties=species:S:1:pos:R:3 pbc="T T T"
Zn 2.872 -1.321 0.339
Zn 1.955 -6.523 6.726
Cu 0.387 -4.040 0.201
Cu 4.440 -3.803 6.864
S 2.933 -5.868 3.025
S 1.894 -1.975 4.040
S 2.575 -3.546 0.577
S 2.251 -4.298 6.488
S 4.633 -1.529 6.259
S 0.193 -6.315 0.806
Ni 3.994 -1.395 4.079
Ni 0.833 -6.448 2.986
```

- magnetic moment (μB per cell) = 0.91
- calculated total energy (eV/cell) = -49.52

The following is a PBE calculation of a relaxed CuNi3Sb5 crystal, from OQMD.

Geometry as extended XYZ:
```
9
Lattice="-3.421 -2.772 -2.847 3.066 -2.419 3.499 -5.453 1.066 5.516" Properties=species:S:1:pos:R:3 pbc="T T T"
Sb -2.429 -2.425 0.452
Sb -0.267 -2.308 2.567
Sb -5.541 -1.817 3.600
Sb -2.727 0.533 2.758
Sb -3.379 -1.699 5.715
Ni -4.437 -0.853 1.334
Ni -2.904 -2.062 3.084
Ni -1.194 -0.676 4.507
Cu 0.000 0.000 0.000
```

- magnetic moment (μB per cell) = 0.00
- calculated total energy (eV/cell) = -40.35

Question: Number 3 is which compound?
Answer: SrCuNiS3

Question: Which of these has the highest magnetic moment?
Answer: number 3